# PBE+U CsCuMoF6, relaxed
data_CsCuMoF6
_symmetry_space_group_name_H-M 'I m m a'
_symmetry_Int_Tables_number 74
_symmetry_space_group_name_Hall '-I 2b 2'
_cell_length_a 7.481
_cell_length_b 7.777
_cell_length_c 10.895
_cell_angle_alpha 90.00
_cell_angle_beta 90.00
_cell_angle_gamma 90.00
loop_
_atom_site_label
_atom_site_type_symbol
_atom_site_fract_x
_atom_site_fract_y
_atom_site_fract_z
Cs1 Cs 0.000 0.250 0.097
Cu1 Cu 0.250 0.250 0.750
Mo1 Mo 0.000 0.000 0.500
F1 F 0.000 0.250 0.421
F2 F 0.000 0.250 0.800
F3 F 0.211 0.058 0.619
# Total magnetic moment   16.16 Bohr magnetons per cell
# Uncorrected energy   -4.9017 eV/atom